# 1
First-principles (PBE-GGA) data for La2PmSmTh after structural relaxation, as listed in Alexandria.

Properties
energy of formation from the pure elements = 0.21 eV per atom

The structure in CIF format:
```
data_La2PmSmTh
_space_group_name_H-M_alt 'P 1 2/c 1'
_space_group_IT_number 13
_cell_length_a 6.4199
_cell_length_b 8.5053
_cell_length_c 6.7006
_cell_angle_alpha 90.00
_cell_angle_beta 102.38
_cell_angle_gamma 90.00
loop_
_space_group_symop_operation_xyz
'x,y,z'
'-x,-y,-z'
'-x,y,-z+1/2'
'x,-y,z+1/2'
loop_
_atom_site_label
_atom_site_type_symbol
_atom_site_fract_x
_atom_site_fract_y
_atom_site_fract_z
La1 La 0.2153 0.1750 0.1643
Pm1 Pm 0.5000 0.1598 0.7500
Sm1 Sm 0.0000 0.4048 0.7500
Th1 Th 0.5000 0.5000 0.0000
```



# 2
First-principles (PBE-GGA) data for LaPmSmTh2 after structural relaxation, as listed in Alexandria.

Properties
energy of formation from the pure elements = 0.43 eV per atom

The structure in CIF format:
```
data_LaPmSmTh2
_space_group_name_H-M_alt 'C m c m'
_space_group_IT_number 63
_space_group_name_Hall '-C 2c 2'
_cell_length_a 8.6129
_cell_length_b 11.9599
_cell_length_c 7.1223
_cell_angle_alpha 90.00
_cell_angle_beta 90.00
_cell_angle_gamma 90.00
loop_
_atom_site_label
_atom_site_type_symbol
_atom_site_fract_x
_atom_site_fract_y
_atom_site_fract_z
La1 La 0.0000 0.2436 0.2500
Pm1 Pm 0.0000 0.4932 0.7500
Sm1 Sm 0.0000 0.2247 0.7500
Th1 Th 0.1830 0.0000 0.0000
```



# 3
First-principles (PBE-GGA) data for La5PmSm2Th after structural relaxation, as listed in Alexandria.

Properties
energy of formation from the pure elements = 0.28 eV per atom

The structure in CIF format:
```
data_La5PmSm2Th
_space_group_name_H-M_alt 'I 4/m c m'
_space_group_IT_number 140
_space_group_name_Hall '-I 4 2c'
_cell_length_a 9.1959
_cell_length_b 9.1959
_cell_length_c 15.0140
_cell_angle_alpha 90.00
_cell_angle_beta 90.00
_cell_angle_gamma 90.00
loop_
_atom_site_label
_atom_site_type_symbol
_atom_site_fract_x
_atom_site_fract_y
_atom_site_fract_z
La1 La 0.0000 0.0000 0.0000
La2 La 0.2100 0.2900 0.1467
Pm1 Pm 0.0000 0.5000 0.2500
Sm1 Sm 0.1137 0.3863 0.5000
Th1 Th 0.0000 0.0000 0.2500
```



Question: Look up the energy of formation from the pure elements of the third one.
Answer: 0.28 eV per atom



Question: Which of these has the highest energy of formation from the pure elements?
Answer: LaPmSmTh2